# 1
Here is crystalline KAg3Te4Os at its relaxed geometry from the Open Quantum Materials Database. Energies are from PBE.

a = 6.8549 Å, b = 6.8549 Å, c = 6.8549 Å
α = 90.00°, β = 90.00°, γ = 90.00°
With the nearest neighbours (Å) after each atom.
Space group P-43m (No. 215)
Symmetry-distinct sites (fractional):
K 0.0000 0.0000 0.0000 (multiplicity 1)  4 Te 3.38
Ag 0.0000 0.5000 0.5000 (multiplicity 3)  4 Te 2.86
Te 0.2843 0.2843 0.2843 (multiplicity 4)  1 Os 2.56, 3 Ag 2.86
Os 0.5000 0.5000 0.5000 (multiplicity 1)  4 Te 2.56

- Final energy: -3.69 eV per atom
- M_tot: 0.0 μB/f.u.


# 2
Here is crystalline KAgTe3Os at its relaxed geometry from the Open Quantum Materials Database. Energies are from PBE.

a = 4.0723 Å, b = 15.9629 Å, c = 10.6163 Å
α = 90.00°, β = 90.00°, γ = 90.00°
With the nearest neighbours (Å) after each atom.
Space group Cmcm (No. 63)
Symmetry-distinct sites (fractional):
K 0.0000 0.2340 0.2500 (multiplicity 4)  2 Ag 3.55, 8 Te 3.73-3.76
Ag 0.0000 0.4478 0.7500 (multiplicity 4)  4 Te 2.67-2.81
Te 0.0000 0.0692 0.7500 (multiplicity 4)  2 Ag 2.81, 2 Os 2.88
Te 0.0000 0.3872 0.5152 (multiplicity 8)  1 Ag 2.67, 2 Os 2.72
Os 0.0000 0.0000 0.0000 (multiplicity 4)  6 Te 2.72-2.88

- Final energy: -4.16 eV per atom
- M_tot: 0.0 μB/f.u.


# 3
Here is crystalline K4AgP2Pt at its relaxed geometry from the Open Quantum Materials Database. Energies are from PBE.

a = 7.6854 Å, b = 9.8653 Å, c = 5.8156 Å
α = 90.00°, β = 90.83°, γ = 90.00°
With the nearest neighbours (Å) after each atom.
Space group C2/m (No. 12)
Symmetry-distinct sites (fractional):
K 0.1455 0.1719 0.2442 (multiplicity 8)  4 P 3.34-3.53, 4 K 3.39-3.70, 1 Ag 3.52, 2 Pt 3.53-3.70
Ag 0.0000 0.5000 0.5000 (multiplicity 2)  2 P 2.47
P 0.2497 0.0000 0.7611 (multiplicity 4)  1 Pt 2.36, 1 Ag 2.47
Pt 0.0000 0.5000 0.0000 (multiplicity 2)  2 P 2.36

- Final energy: -3.40 eV per atom
- M_tot: 0.6 μB/f.u.


# 4
Here is crystalline KRbAg2P2 at its relaxed geometry from the Open Quantum Materials Database. Energies are from PBE.

a = 4.4972 Å, b = 4.4972 Å, c = 7.6873 Å
α = 90.00°, β = 90.00°, γ = 90.00°
With the nearest neighbours (Å) after each atom.
Space group P4mm (No. 99)
Symmetry-distinct sites (fractional):
K 0.0000 0.0000 0.0000 (multiplicity 1)  4 Ag 3.40, 5 P 3.40-3.79
Rb 0.5000 0.5000 0.3122 (multiplicity 1)  5 P 3.47-3.61, 4 Ag 3.54
Ag 0.0000 0.5000 0.6677 (multiplicity 2)  4 P 2.62
P 0.0000 0.0000 0.4934 (multiplicity 1)  4 Ag 2.62
P 0.5000 0.5000 0.8421 (multiplicity 1)  4 Ag 2.62

- Final energy: -3.17 eV per atom